[1]
A plane-wave DFT calculation with PBE was carried out for a relaxed structure of MgTcGe.

The structure in POSCAR format:
```
MgTcGe
1.0
4.301 0.000 0.000
-2.151 3.725 0.000
0.000 0.000 3.112
Mg Tc Ge
1 1 1
Cartesian
0.000 0.000 0.000
0.000 2.483 1.556
2.151 1.242 1.556
```

Results
formation energy from the elements	0.01	eV/atom
energy above the lowest structure with this stoichiometry	0.169	eV/atom
V	49.9	Å³ per cell
raw total energy	-5.5199	eV per atom

[2]
A plane-wave DFT calculation with PBE was carried out for a relaxed structure of ZnCu2SeO6.

The structure in POSCAR format:
```
ZnCu2SeO6
1.0
4.780 -4.446 0.000
4.780 4.446 0.000
-0.573 0.000 5.232
Zn Cu Se O
2 4 2 12
Cartesian
4.351 3.673 3.924
4.637 -3.673 1.308
2.611 0.855 3.685
2.897 -0.855 1.069
6.090 0.855 4.164
6.377 -0.855 1.547
4.637 2.098 1.308
4.351 -2.098 3.924
0.701 0.917 3.283
3.269 2.219 4.902
0.988 -0.917 0.667
3.423 0.842 1.897
5.433 2.219 2.947
3.136 -0.842 4.514
5.851 0.842 0.719
3.555 -2.219 2.286
5.565 -0.842 3.335
8.000 0.917 4.565
5.719 -2.219 0.330
8.287 -0.917 1.949
```

Results
raw formation energy	-0.614	eV/atom
V	222.4	Å³ per cell
raw total energy	-4.8843	eV per atom

[3]
A plane-wave DFT calculation with PBE was carried out for a relaxed structure of CoReAu2.

The structure in POSCAR format:
```
CoReAu2
1.0
3.984 0.000 0.000
0.000 3.984 0.000
0.000 0.000 7.720
Co Re Au
2 2 4
Cartesian
0.000 0.000 0.000
1.992 1.992 3.860
0.000 1.992 5.790
1.992 0.000 1.930
0.000 0.000 3.860
0.000 1.992 1.930
1.992 0.000 5.790
1.992 1.992 0.000
```

Results
formation energy from the elements	0.57	eV/atom
energy above the lowest structure with this stoichiometry	0.373	eV/atom
V	122.5	Å³ per cell
raw total energy	-5.9568	eV per atom

[4]
A plane-wave DFT calculation with PBE was carried out for a relaxed structure of MgAg2SeO4.

The structure in POSCAR format:
```
MgAg2SeO4
1.0
4.287 0.000 0.000
1.965 5.076 0.000
0.135 1.583 5.327
Mg Ag Se O
1 2 1 4
Cartesian
0.000 0.000 0.000
2.260 3.871 3.775
2.267 1.068 2.996
4.308 3.177 1.243
0.117 1.082 3.409
1.733 3.452 1.297
4.010 4.713 0.423
4.353 3.601 5.260
```

Results
raw formation energy	-0.925	eV/atom
V	115.9	Å³ per cell
raw total energy	-4.7514	eV per atom